(1)
# Ca2MgPt

Ca2MgPt after structural relaxation (PBE, Alexandria via LeMat-Bulk).

Results
Magnetization (μB/f.u.): 0.0
E (eV per atom): -3.3181
ρ (kg/m3): 3701
Calculated volume (A^3/atom): 33.60

Structure (POSCAR):
```
Ca2MgPt
1.0
-5.0896 5.0896 2.5938
5.0896 -5.0896 2.5938
5.0896 5.0896 -2.5938
Ca Mg Pt
4 2 2
Cartesian
-1.0363 2.5448 0.6485 Ca
2.5448 4.0533 1.9454 Ca
1.0363 7.6344 0.6485 Ca
-2.5448 6.1259 1.9454 Ca
5.0896 0.0000 1.2969 Mg
0.0000 0.0000 2.5938 Mg
0.0000 0.0000 0.0000 Pt
0.0000 5.0896 1.2969 Pt
```

(2)
# KPrTe

KPrTe after structural relaxation (PBE, Alexandria via LeMat-Bulk).

Results
Magnetization (μB/f.u.): 0.8
Formation energy (no corrections) (eV per atom): -0.85
E (eV per atom): -3.8586
ρ (kg/m3): 4574
Calculated volume (A^3/atom): 37.22

Structure (POSCAR):
```
KPrTe
1.0
4.8553 0.0000 0.0000
0.0000 4.8553 0.0000
0.0000 0.0000 9.4736
K Pr Te
2 2 2
Cartesian
1.2138 1.2138 1.2953 K
3.6415 3.6415 8.1782 K
1.2138 3.6415 4.7368 Pr
3.6415 1.2138 4.7368 Pr
1.2138 1.2138 7.0797 Te
3.6415 3.6415 2.3939 Te
```

(3)
# KV3Ag

KV3Ag after structural relaxation (PBE, Alexandria via LeMat-Bulk).

Results
Magnetization (μB/f.u.): 0.0
E (eV per atom): -3.8298
ρ (kg/m3): 6158
Calculated volume (A^3/atom): 16.17

Structure (POSCAR):
```
KV3Ag
1.0
4.3238 0.0000 0.0000
0.0000 4.3238 0.0000
0.0000 0.0000 4.3238
K V Ag
1 3 1
Cartesian
0.0000 0.0000 0.0000 K
0.0000 0.0000 2.1619 V
0.0000 2.1619 0.0000 V
2.1619 0.0000 0.0000 V
2.1619 2.1619 2.1619 Ag
```

What did the second record say?
# KPrTe

KPrTe after structural relaxation (PBE, Alexandria via LeMat-Bulk).

Results
Magnetization (μB/f.u.): 0.8
Formation energy (no corrections) (eV per atom): -0.85
E (eV per atom): -3.8586
ρ (kg/m3): 4574
Calculated volume (A^3/atom): 37.22

Structure (POSCAR):
```
KPrTe
1.0
4.8553 0.0000 0.0000
0.0000 4.8553 0.0000
0.0000 0.0000 9.4736
K Pr Te
2 2 2
Cartesian
1.2138 1.2138 1.2953 K
3.6415 3.6415 8.1782 K
1.2138 3.6415 4.7368 Pr
3.6415 1.2138 4.7368 Pr
1.2138 1.2138 7.0797 Te
3.6415 3.6415 2.3939 Te
```

Number 1 is which compound?
Ca2MgPt